{"formula": "Cu4TePd7", "functional": "GGA-PBE", "state": "relaxed", "final_energy_ev_per_cell": -57.24, "formation_energy_uncorrected_ev_per_atom": -0.11, "dos_at_fermi_per_ev_cell": 7.54, "total_magnetization_mub_per_fu": 0.00, "lattice_angstrom": [[4.265, -2.007, 0.000], [4.265, 2.007, 0.000], [-2.916, 0.000, 10.521]], "species": ["Cu", "Cu", "Cu", "Cu", "Te", "Pd", "Pd", "Pd", "Pd", "Pd", "Pd", "Pd"], "fractional_positions": [[0.170, 0.170, 0.418], [0.188, 0.188, 0.189], [0.812, 0.812, 0.811], [0.830, 0.830, 0.582], [0.500, 0.500, 0.000], [0.159, 0.159, 0.655], [0.166, 0.166, 0.913], [0.489, 0.489, 0.749], [0.500, 0.500, 0.500], [0.511, 0.511, 0.251], [0.834, 0.834, 0.087], [0.841, 0.841, 0.345]]}